Here is a relaxed DyEr2TmSc crystal from Alexandria. Energies are from GGA-PBE.

Computed properties:
Formation energy   0.360 eV/atom
Final energy   -0.3341 Ry/atom
SG   Cmcm
Magnetic moment   0.0 μB per formula unit
Calculated volume   31.5 Å³/atom

Unit cell a=7.0280 b=8.0871 c=6.8607 alpha=126.11 beta=90.00 gamma=90.00
Fractional positions:
Er: 0.5000 0.6970 0.0000
Sc: 0.2500 0.0007 0.0013
Sc: 0.7500 0.9993 0.9987
Tm: 0.2500 0.2716 0.5431
Dy: 0.7500 0.2688 0.5376
Er: 0.0000 0.6970 0.0000
Er: 0.5000 0.3030 0.0000
Tm: 0.7500 0.7284 0.4569
Dy: 0.2500 0.7312 0.4624
Er: 0.0000 0.3030 0.0000